Entry 1:
Computed, not measured: CoNi12B4 after structural relaxation at the PBE-GGA level of DFT.

Cell lengths 6.142, 6.142, 6.142 Å; angles 109.47, 109.47, 109.47 degrees
Element x y z (fractional)
Ni  0.493  0.170  0.322
Ni  0.152  0.830  0.322
Ni  0.507  0.830  0.678
Ni  0.830  0.322  0.152
Ni  0.830  0.678  0.507
Ni  0.170  0.322  0.493
Ni  0.170  0.678  0.848
Ni  0.848  0.170  0.678
Ni  0.322  0.493  0.170
Ni  0.322  0.152  0.830
Ni  0.678  0.507  0.830
Ni  0.678  0.848  0.170
B  0.000  0.500  0.000
B  0.500  0.000  0.000
B  0.500  0.500  0.500
B  0.000  0.000  0.500
Co  0.000  0.000  0.000

Calculated values
raw total energy	-6.057	eV per atom
energy of formation from the pure elements	0.013	eV per atom

Entry 2:
Computed, not measured: CoNi4B after structural relaxation at the PBE-GGA level of DFT.

Cell lengths 3.497, 3.497, 9.692 Å; angles 90.00, 89.99, 90.00 degrees
Element x y z (fractional)
Ni  0.501  0.500  0.627
Ni  0.499  0.000  0.179
Ni  0.001  0.000  0.627
Ni  0.001  0.500  0.821
Ni  0.999  0.000  0.373
Ni  0.499  0.500  0.373
Ni  0.501  0.000  0.821
Ni  0.999  0.500  0.179
B  0.000  0.500  0.500
B  0.500  0.000  0.500
Co  0.500  0.500  0.000
Co  0.000  0.000  0.000

Calculated values
raw total energy	-6.228	eV per atom
energy of formation from the pure elements	-0.076	eV per atom

Entry 3:
Computed, not measured: CoNi2B after structural relaxation at the PBE-GGA level of DFT.

Cell lengths 3.237, 3.237, 8.191 Å; angles 78.60, 78.60, 90.00 degrees
Element x y z (fractional)
Ni  0.375  0.391  0.750
Ni  0.609  0.125  0.250
Ni  0.875  0.859  0.750
Ni  0.141  0.625  0.250
B  0.250  0.750  0.500
B  0.500  0.500  0.000
Co  0.000  0.000  0.000
Co  0.750  0.250  0.500

Calculated values
raw total energy	-5.852	eV per atom
energy of formation from the pure elements	0.485	eV per atom

Entry 4:
Computed, not measured: CoNi2B after structural relaxation at the PBE-GGA level of DFT.

Cell lengths 3.967, 4.030, 5.223 Å; angles 84.88, 76.72, 76.09 degrees
Element x y z (fractional)
B  0.121  0.496  0.085
B  0.866  0.051  0.488
Ni  0.825  0.823  0.864
Ni  0.212  0.971  0.120
Ni  0.621  0.369  0.200
Ni  0.390  0.922  0.544
Co  0.009  0.510  0.468
Co  0.464  0.386  0.752

Calculated values
raw total energy	-6.393	eV per atom
energy of formation from the pure elements	-0.056	eV per atom

Entry 5:
Computed, not measured: Co2Ni21B6 after structural relaxation at the PBE-GGA level of DFT.

Cell lengths 7.383, 7.383, 7.383 Å; angles 60.00, 60.00, 60.00 degrees
Element x y z (fractional)
Ni  0.661  0.339  0.000
Ni  0.000  0.000  0.000
Ni  0.000  0.661  0.339
Ni  0.000  0.661  0.000
Ni  0.661  0.000  0.000
Ni  0.855  0.382  0.382
Ni  0.339  0.000  0.000
Ni  0.339  0.000  0.661
Ni  0.618  0.145  0.618
Ni  0.000  0.000  0.339
Ni  0.382  0.855  0.382
Ni  0.618  0.618  0.145
Ni  0.339  0.661  0.000
Ni  0.661  0.000  0.339
Ni  0.618  0.618  0.618
Ni  0.000  0.000  0.661
Ni  0.382  0.382  0.855
Ni  0.000  0.339  0.000
Ni  0.145  0.618  0.618
Ni  0.000  0.339  0.661
Ni  0.382  0.382  0.382
Co  0.750  0.750  0.750
Co  0.250  0.250  0.250
B  0.728  0.728  0.272
B  0.272  0.728  0.728
B  0.272  0.728  0.272
B  0.728  0.272  0.272
B  0.728  0.272  0.728
B  0.272  0.272  0.728

Calculated values
raw total energy	-6.242	eV per atom
energy of formation from the pure elements	-0.184	eV per atom

Entry 6:
Computed, not measured: CoNi2B after structural relaxation at the PBE-GGA level of DFT.

Cell lengths 4.230, 2.676, 8.022 Å; angles 90.00, 121.33, 90.00 degrees
Element x y z (fractional)
Ni  0.776  0.500  0.484
Ni  0.101  0.000  0.791
Ni  0.101  0.500  0.291
Ni  0.776  0.000  0.984
Co  0.490  0.500  0.678
Co  0.490  0.000  0.178
B  0.125  0.000  0.487
B  0.125  0.500  0.987

Calculated values
raw total energy	-6.406	eV per atom
energy of formation from the pure elements	-0.070	eV per atom

Entry 7:
Computed, not measured: CoNi2B after structural relaxation at the PBE-GGA level of DFT.

Cell lengths 4.047, 4.199, 4.862 Å; angles 73.07, 87.47, 73.86 degrees
Element x y z (fractional)
Ni  0.171  0.787  0.139
Ni  0.569  0.168  0.240
Ni  0.999  0.400  0.930
Ni  0.048  0.210  0.503
B  0.704  0.638  0.218
B  0.915  0.742  0.524
Co  0.613  0.986  0.807
Co  0.454  0.590  0.611

Calculated values
raw total energy	-6.484	eV per atom
energy of formation from the pure elements	-0.148	eV per atom

Entry 8:
Computed, not measured: CoNiB2 after structural relaxation at the PBE-GGA level of DFT.

Cell lengths 2.516, 2.516, 6.242 Å; angles 78.37, 78.37, 60.00 degrees
Element x y z (fractional)
B  0.252  0.252  0.245
B  0.748  0.748  0.755
Ni  0.500  0.500  0.500
Co  0.000  0.000  0.000

Calculated values
raw total energy	-6.449	eV per atom
polymorph energy (0 for the lowest one)	0.0737	eV per atom
energy of formation from the pure elements	0.111	eV per atom

Entry 9:
Computed, not measured: CoNiB2 after structural relaxation at the PBE-GGA level of DFT.

Cell lengths 3.541, 3.541, 3.541 Å; angles 60.00, 60.00, 60.00 degrees
Element x y z (fractional)
Ni  0.500  0.500  0.500
Co  0.000  0.000  0.000
B  0.750  0.750  0.750
B  0.250  0.250  0.250

Calculated values
raw total energy	-6.523	eV per atom
polymorph energy (0 for the lowest one)	0.0000	eV per atom
energy of formation from the pure elements	0.038	eV per atom

Entry 10:
Computed, not measured: CoNi2B after structural relaxation at the PBE-GGA level of DFT.

Cell lengths 2.684, 6.722, 4.303 Å; angles 90.00, 90.00, 90.00 degrees
Element x y z (fractional)
B  0.000  0.500  0.513
B  0.500  0.000  0.013
Ni  0.000  0.190  0.210
Ni  0.500  0.690  0.710
Ni  0.000  0.810  0.210
Ni  0.500  0.310  0.710
Co  0.500  0.500  0.185
Co  0.000  0.000  0.685

Calculated values
raw total energy	-6.410	eV per atom
energy of formation from the pure elements	-0.074	eV per atom

Entry 11:
Computed, not measured: Co2NiB after structural relaxation at the PBE-GGA level of DFT.

Cell lengths 3.028, 3.506, 3.506 Å; angles 90.00, 90.00, 90.00 degrees
Element x y z (fractional)
Ni  0.500  0.000  0.000
Co  0.000  0.000  0.500
Co  0.000  0.500  0.000
B  0.500  0.500  0.500

Calculated values
raw total energy	-6.459	eV per atom
energy of formation from the pure elements	0.209	eV per atom

Entry 12:
Computed, not measured: Co2NiB after structural relaxation at the PBE-GGA level of DFT.

Cell lengths 3.236, 3.236, 8.275 Å; angles 78.72, 78.72, 90.00 degrees
Element x y z (fractional)
B  0.250  0.750  0.500
B  0.500  0.500  0.000
Co  0.598  0.125  0.250
Co  0.375  0.402  0.750
Co  0.875  0.848  0.750
Co  0.152  0.625  0.250
Ni  0.750  0.250  0.500
Ni  0.000  0.000  0.000

Calculated values
raw total energy	-6.160	eV per atom
energy of formation from the pure elements	0.507	eV per atom